A geometry-optimized Y2H2S structure. Source: Alexandria, functional PBE-GGA.

Unit cell a=3.500 b=3.500 c=12.181 alpha=90.00 beta=90.00 gamma=90.00
Fractional coordinates of all 10 atoms:
Y 0.000 0.000 0.138
Y 0.000 0.000 0.862
Y 0.500 0.500 0.362
Y 0.500 0.500 0.638
H 0.000 0.500 0.250
H 0.000 0.500 0.750
H 0.500 0.000 0.250
H 0.500 0.000 0.750
S 0.000 0.000 0.500
S 0.500 0.500 0.000

Summary:
Symmetry: I4/mmm, No. 139
Theoretical density (g/cm3): 4.72
Raw total energy (eV per atom): -5.7715

=====

A geometry-optimized K6BrO3 structure. Source: Alexandria, functional PBE-GGA.

Unit cell a=11.307 b=4.166 c=11.500 alpha=90.00 beta=107.27 gamma=90.00
Fractional coordinates of all 20 atoms:
K 0.033 0.250 0.407
K 0.109 0.250 0.958
K 0.178 0.750 0.268
K 0.250 0.750 0.776
K 0.342 0.250 0.557
K 0.428 0.750 0.076
K 0.572 0.250 0.924
K 0.658 0.750 0.443
K 0.750 0.250 0.224
K 0.822 0.250 0.732
K 0.891 0.750 0.042
K 0.967 0.750 0.593
Br 0.424 0.250 0.302
Br 0.576 0.750 0.698
O 0.020 0.250 0.171
O 0.175 0.750 0.516
O 0.334 0.250 0.916
O 0.666 0.750 0.084
O 0.825 0.250 0.484
O 0.980 0.750 0.829

Summary:
Symmetry: P2_1/m, No. 11
Formation energy without anion corrections (eV per atom): -1.138
Theoretical density (g/cm3): 2.33
Raw total energy (eV per atom): -3.4512

=====

A geometry-optimized MnRh2Cl structure. Source: Alexandria, functional PBE-GGA.

Unit cell a=2.937 b=4.973 c=8.347 alpha=90.00 beta=90.00 gamma=90.00
Fractional coordinates of all 8 atoms:
Mn 0.000 0.000 0.000
Mn 0.500 0.500 0.000
Rh 0.000 0.500 0.242
Rh 0.000 0.500 0.758
Rh 0.500 0.000 0.242
Rh 0.500 0.000 0.758
Cl 0.000 0.000 0.500
Cl 0.500 0.500 0.500

Summary:
Symmetry: Cmmm, No. 65
Formation energy without anion corrections (eV per atom): 0.273
Theoretical density (g/cm3): 8.07
Raw total energy (eV per atom): -6.1565